1.
# BeFeW

A relaxed BeFeW crystal (PBE, Alexandria via LeMat-Bulk).

Geometry as POSCAR:
```
BeFeW
1.0
0.000 2.725 2.725
2.725 0.000 2.725
2.725 2.725 0.000
Be Fe W
1 1 1
direct
0.000 0.000 0.000
0.750 0.750 0.750
0.500 0.500 0.500
```

Summary:
* SG: F-43m (216)
* magnetic moment: 0.0 μB per formula unit
* energy above the lowest structure with this stoichiometry: 633.7 meV/atom

***

2.
# RbCd2I5

A relaxed RbCd2I5 crystal (PBE, Alexandria via LeMat-Bulk).

Geometry as POSCAR:
```
RbCd2I5
1.0
7.780 0.000 0.000
0.000 13.172 0.000
-1.284 0.000 7.911
Rb Cd I
2 4 10
direct
0.099 0.250 0.138
0.901 0.750 0.862
0.154 0.588 0.402
0.154 0.912 0.402
0.846 0.088 0.598
0.846 0.412 0.598
0.217 0.098 0.590
0.217 0.402 0.590
0.251 0.572 0.090
0.251 0.928 0.090
0.302 0.750 0.619
0.698 0.250 0.381
0.749 0.072 0.910
0.749 0.428 0.910
0.783 0.598 0.410
0.783 0.902 0.410
```

Summary:
* SG: P2_1/m (11)
* magnetic moment: 0.0 μB per formula unit
* energy: -2.117 eV/atom